# MnCoBrF, relaxed, DFT PBE+U
# density	4318	kg/m³
# crystal system	triclinic
# raw total energy	-18.94	eV for the cell shown
# magnetization	6.91	μB/f.u.
data_MnCoBrF
_space_group_name_H-M_alt 'P 1'
_space_group_IT_number 1
_space_group_name_Hall 'P 1'
_cell_length_a 3.423
_cell_length_b 3.424
_cell_length_c 8.225
_cell_angle_alpha 97.07
_cell_angle_beta 94.35
_cell_angle_gamma 119.94
loop_
_atom_site_label
_atom_site_type_symbol
_atom_site_fract_x
_atom_site_fract_y
_atom_site_fract_z
_atom_site_occupancy
Mn1 Mn 0.000 0.000 0.000 1
Co1 Co 0.546 0.193 0.728 1
Br1 Br 0.131 0.431 0.543 1
F1 F 0.383 0.725 0.114 1